{
  "formula": "Nb2VNiH",
  "functional": "PBE-GGA",
  "state": "optimized geometry",
  "lattice": [[4.234, 0.000, 0.000], [0.000, 4.234, 0.000], [0.000, 0.000, 3.552]],
  "species": ["Ni", "V", "H", "Nb", "Nb"],
  "frac_coords": [[0.500, 0.500, 0.500], [0.000, 0.000, 0.500], [0.000, 0.000, 0.000], [0.000, 0.500, 0.000], [0.500, 0.000, 0.000]],
  "dos_at_fermi_per_ev_cell": 6.278,
  "mass_density_g_cm3": 7.7,
  "magnetic_moment_mub_per_cell": 0.000,
  "final_energy_ev_per_atom": -7.720,
  "spacegroup": "P4/mmm"
}